# 1
Material: WC3Cl
Method: DFT, PBE
State: relaxed

The calculation puts the energy above the most stable polymorph in this dataset at 0 meV/atom. The total energy is -6.428 eV/atom. The density of states at the Fermi level is 4.97 states/eV/cell. As for the density: 5.8 g/cm3. For the uncorrected formation energy, the calculation gives 2067 meV/atom. For the spin magnetization, the calculation gives 0.0 μB/cell.

The space group is Pm-3m (No. 221) and the conventional cell measures 4.176, 4.176 and 4.176 Å, with angles of 90.00, 90.00 and 90.00 degrees. The inequivalent atoms are W at (0.000, 0.000, 0.000), C at (0.000, 0.000, 0.500) and Cl at (0.500, 0.500, 0.500).

# 2
Material: Li2Pm3DySe6
Method: DFT, PBE
State: relaxed

The total energy is -5.370 eV/atom. The density of states at the Fermi level is 5.59 states/eV/cell. As for the density: 6.1 g/cm3. For the uncorrected formation energy, the calculation gives -1738 meV/atom. For the spin magnetization, the calculation gives 0.0 μB/cell.

The space group is C2/m (No. 12) and the conventional cell measures 7.120, 12.334 and 7.104 Å, with angles of 90.00, 109.51 and 90.00 degrees. The inequivalent atoms are Li at (0.000, 0.167, 0.000), Pm at (0.000, 0.000, 0.500), Pm at (0.000, 0.333, 0.500), Dy at (0.000, 0.500, 0.000), Se at (0.242, 0.000, 0.236) and Se at (0.247, 0.331, 0.235).

- The lowest uncorrected formation energy belongs to which entry?
  Li2Pm3DySe6